# 1
PBE LiTeN2F, relaxed; N(E_F) = 0.75 states/eV/atom; magnetization = 5.1 μB per formula unit; formation energy from raw total energies = 1.507 eV/atom; space group = P4/mmm, No. 123; offset from the most stable computed form = 1.266 eV/atom
1.0
-2.722 -3.837 -1.154
2.194 -0.261 -4.310
2.948 -2.590 1.658
N Te Li F
2 1 1 1
Direct
0.000 0.500 0.000 N
0.500 0.000 0.000 N
0.000 0.000 0.500 Te
0.500 0.500 0.500 Li
0.000 0.000 0.000 F

---

# 2
PBE RbSiB, relaxed; N(E_F) = 0.07 states/eV/atom; magnetization = 0.0 μB per formula unit; formation energy from raw total energies = 0.386 eV/atom; space group = C2/m, No. 12
1.0
15.974 0.000 -0.001
5.866 1.903 -2.448
-5.866 1.903 2.448
Si B Rb
2 2 2
Direct
0.117 0.084 0.916 Si
0.883 0.916 0.084 Si
0.169 0.497 0.503 B
0.831 0.503 0.497 B
0.682 0.409 0.591 Rb
0.318 0.591 0.409 Rb

---

# 3
PBE Ag3WI, relaxed; N(E_F) = 0.59 states/eV/atom; magnetization = 0.0 μB per formula unit; formation energy from raw total energies = 1.560 eV/atom; space group = Pm-3m, No. 221; offset from the most stable computed form = 0.000 eV/atom
1.0
5.201 0.000 0.000
0.000 5.201 0.000
0.000 0.000 5.201
I Ag W
1 3 1
Direct
0.500 0.500 0.500 I
0.000 0.500 0.000 Ag
0.000 0.000 0.500 Ag
0.500 0.000 0.000 Ag
0.000 0.000 0.000 W

---

# 4
PBE La3BiN, relaxed; N(E_F) = 0.60 states/eV/atom; magnetization = 0.0 μB per formula unit; formation energy from raw total energies = -0.933 eV/atom; space group = P-1, No. 2
1.0
7.409 0.024 0.018
3.556 5.973 0.038
0.641 0.797 6.891
La Bi N
6 2 2
Direct
0.497 0.899 0.094 La
0.096 0.868 0.811 La
0.640 0.825 0.603 La
0.044 0.396 0.294 La
0.642 0.365 0.011 La
0.499 0.439 0.502 La
0.022 0.913 0.311 Bi
0.117 0.351 0.794 Bi
0.456 0.658 0.770 N
0.683 0.606 0.335 N

---

Which value of magnetization does entry 2 give? 0.0 μB per formula unit